Arrangement one

DFT (GGA-PBE) results for crystalline AlAgTe2N at its relaxed geometry.

Geometry as CIF:
```
data_AlAgTe2N
_chemical_formula_sum 'Al1 Ag1 Te2 N1'
_symmetry_space_group_name_H-M 'P 1'
_symmetry_Int_Tables_number 1
_cell_length_a 5.6494
_cell_length_b 5.6494
_cell_length_c 3.9039
_cell_angle_alpha 90.00
_cell_angle_beta 90.00
_cell_angle_gamma 90.00
loop_
_symmetry_equiv_pos_as_xyz
'x,y,z'
loop_
_atom_site_label
_atom_site_fract_x
_atom_site_fract_y
_atom_site_fract_z
Te1 0.0000 0.5000 0.0000
Te2 0.5000 0.0000 0.0000
Al1 0.5000 0.5000 0.5000
Ag1 0.0000 0.0000 0.0000
N1 0.0000 0.0000 0.5000
```

Properties
Symmetry: P4/mmm

Arrangement two

DFT (GGA-PBE) results for crystalline AlAgTe2N at its relaxed geometry.

Geometry as CIF:
```
data_AlAgTe2N
_chemical_formula_sum 'Al1 Ag1 Te2 N1'
_symmetry_space_group_name_H-M 'P 1'
_symmetry_Int_Tables_number 1
_cell_length_a 5.7953
_cell_length_b 5.7953
_cell_length_c 3.4079
_cell_angle_alpha 90.00
_cell_angle_beta 90.00
_cell_angle_gamma 90.00
loop_
_symmetry_equiv_pos_as_xyz
'x,y,z'
loop_
_atom_site_label
_atom_site_fract_x
_atom_site_fract_y
_atom_site_fract_z
Te1 0.0000 0.5000 0.0000
Te2 0.5000 0.0000 0.0000
Al1 0.0000 0.0000 0.0000
Ag1 0.5000 0.5000 0.5000
N1 0.0000 0.0000 0.5000
```

Properties
Symmetry: P4/mmm

So which one is most stable? That would be arrangement two, about 0.771 eV/atom below the next structure.

Arrangement one

DFT (GGA-PBE) results for crystalline NaAl3Ag at its relaxed geometry.

Geometry as CIF:
```
data_NaAl3Ag
_chemical_formula_sum 'Na2 Al6 Ag2'
_symmetry_space_group_name_H-M 'P 1'
_symmetry_Int_Tables_number 1
_cell_length_a 5.7306
_cell_length_b 6.5413
_cell_length_c 6.5413
_cell_angle_alpha 120.00
_cell_angle_beta 90.00
_cell_angle_gamma 90.00
loop_
_symmetry_equiv_pos_as_xyz
'x,y,z'
loop_
_atom_site_label
_atom_site_fract_x
_atom_site_fract_y
_atom_site_fract_z
Na1 0.7499 0.6667 0.3334
Na2 0.2501 0.3332 0.6666
Al1 0.7500 0.6075 0.8038
Al2 0.2500 0.8037 0.6075
Al3 0.2500 0.3925 0.1962
Al4 0.7500 0.1963 0.3925
Al5 0.2499 0.8037 0.1962
Al6 0.7501 0.1963 0.8038
Ag1 0.0000 0.0000 0.0000
Ag2 0.5000 0.0000 0.0000
```

Properties
Symmetry: P6_3/mmc

Arrangement two

DFT (GGA-PBE) results for crystalline NaAl3Ag at its relaxed geometry.

Geometry as CIF:
```
data_NaAl3Ag
_chemical_formula_sum 'Na1 Al3 Ag1'
_symmetry_space_group_name_H-M 'P 1'
_symmetry_Int_Tables_number 1
_cell_length_a 4.9961
_cell_length_b 4.9961
_cell_length_c 4.9961
_cell_angle_alpha 90.00
_cell_angle_beta 90.00
_cell_angle_gamma 90.00
loop_
_symmetry_equiv_pos_as_xyz
'x,y,z'
loop_
_atom_site_label
_atom_site_fract_x
_atom_site_fract_y
_atom_site_fract_z
Na1 0.5000 0.5000 0.5000
Al1 0.0000 0.5000 0.0000
Al2 0.0000 0.0000 0.5000
Al3 0.5000 0.0000 0.0000
Ag1 0.0000 0.0000 0.0000
```

Properties
Symmetry: Pm-3m

Arrangement three

DFT (GGA-PBE) results for crystalline NaAl3Ag at its relaxed geometry.

Geometry as CIF:
```
data_NaAl3Ag
_chemical_formula_sum 'Na2 Al6 Ag2'
_symmetry_space_group_name_H-M 'P 1'
_symmetry_Int_Tables_number 1
_cell_length_a 5.3747
_cell_length_b 5.6359
_cell_length_c 7.2044
_cell_angle_alpha 113.03
_cell_angle_beta 90.00
_cell_angle_gamma 90.00
loop_
_symmetry_equiv_pos_as_xyz
'x,y,z'
loop_
_atom_site_label
_atom_site_fract_x
_atom_site_fract_y
_atom_site_fract_z
Na1 0.2500 0.4245 0.8491
Na2 0.7500 0.5755 0.1509
Al1 0.2500 0.8275 0.6551
Al2 0.7500 0.1725 0.3449
Al3 0.2500 0.4049 0.3272
Al4 0.7500 0.5951 0.6728
Al5 0.2500 0.9223 0.3272
Al6 0.7500 0.0777 0.6728
Ag1 0.0000 0.0000 0.0000
Ag2 0.5000 0.0000 0.0000
```

Properties
Symmetry: Cmcm

So which one is most stable? That would be arrangement three, about 0.124 eV/atom below the next structure.

Arrangement one

DFT (GGA-PBE) results for crystalline NaAl4Ag8 at its relaxed geometry.

Geometry as CIF:
```
data_NaAl4Ag8
_chemical_formula_sum 'Na1 Al4 Ag8'
_symmetry_space_group_name_H-M 'P 1'
_symmetry_Int_Tables_number 1
_cell_length_a 6.3624
_cell_length_b 6.3624
_cell_length_c 6.3624
_cell_angle_alpha 89.94
_cell_angle_beta 89.94
_cell_angle_gamma 89.94
loop_
_symmetry_equiv_pos_as_xyz
'x,y,z'
loop_
_atom_site_label
_atom_site_fract_x
_atom_site_fract_y
_atom_site_fract_z
Na1 0.0000 0.0000 0.0000
Al1 0.5000 0.5000 0.5000
Al2 0.5000 0.5000 0.0000
Al3 0.0000 0.5000 0.5000
Al4 0.5000 0.0000 0.5000
Ag1 0.7451 0.2557 0.2557
Ag2 0.2557 0.2557 0.7451
Ag3 0.2557 0.7451 0.2557
Ag4 0.2555 0.2555 0.2555
Ag5 0.7445 0.7445 0.7445
Ag6 0.7443 0.7443 0.2549
Ag7 0.7443 0.2549 0.7443
Ag8 0.2549 0.7443 0.7443
```

Properties
Symmetry: R-3m

Arrangement two

DFT (GGA-PBE) results for crystalline NaAl4Ag8 at its relaxed geometry.

Geometry as CIF:
```
data_NaAl4Ag8
_chemical_formula_sum 'Na1 Al4 Ag8'
_symmetry_space_group_name_H-M 'P 1'
_symmetry_Int_Tables_number 1
_cell_length_a 5.4323
_cell_length_b 7.1236
_cell_length_c 7.1236
_cell_angle_alpha 81.64
_cell_angle_beta 67.59
_cell_angle_gamma 67.59
loop_
_symmetry_equiv_pos_as_xyz
'x,y,z'
loop_
_atom_site_label
_atom_site_fract_x
_atom_site_fract_y
_atom_site_fract_z
Na1 0.0000 0.0000 0.0000
Al1 0.0000 0.0000 0.5000
Al2 0.5000 0.0000 0.5000
Al3 0.0000 0.5000 0.0000
Al4 0.5000 0.5000 0.0000
Ag1 0.0000 0.3407 0.6593
Ag2 0.0000 0.6593 0.3407
Ag3 0.3407 0.6593 0.6593
Ag4 0.6593 0.3407 0.3407
Ag5 0.5000 0.7803 0.2197
Ag6 0.5000 0.2197 0.7803
Ag7 0.2803 0.2197 0.2197
Ag8 0.7197 0.7803 0.7803
```

Properties
Symmetry: I4/mmm

So which one is most stable? That would be arrangement two, about 0.217 eV/atom below the next structure.